[1]
CsRbCd2Br6: relaxed, PBE-GGA.

a b c (Å): 15.964 16.085 6.626
angles (deg): 90.00 91.26 90.00
Space group C2/c (No. 15)
Unique sites:
Cs 0.000 0.102 0.250 x4
Rb 0.000 0.315 0.750 x4
Cd 0.228 0.411 0.173 x8
Br 0.113 0.110 0.759 x8
Br 0.117 0.302 0.261 x8
Br 0.198 0.428 0.767 x8

Values from the calculation:
For the density of states at the Fermi level, the calculation gives 0.0 states/eV per cell. As for the size of the total moment: 0.000 μB per cell. The calculation puts the energy relative to the elements, uncorrected at -1.227 eV/atom.

=====

[2]
CsRb2Cd2Br7: relaxed, PBE-GGA.

a b c (Å): 5.627 5.627 28.136
angles (deg): 90.00 90.00 90.00
Space group I4/mmm (No. 139)
Unique sites:
Cs 0.000 0.000 0.000 x2
Rb 0.000 0.000 0.179 x4
Cd 0.000 0.000 0.398 x4
Br 0.000 0.000 0.302 x4
Br 0.000 0.000 0.500 x2
Br 0.000 0.500 0.097 x8

Values from the calculation:
As for the size of the total moment: 0.000 μB per cell. The calculation puts the energy relative to the elements, uncorrected at -1.311 eV/atom.

=====

Calculated calculated total energy, -2.60 -2.67 eV per atom (same order as the records).